[1]
DFT (PBE) results for DyTmIn4Co2 after structural relaxation.

Symmetry ... Amm2
ρ ... 9.153 Mg/m³
Final energy ... -4.564 eV per atom

Unit cell a=7.631 b=5.513 c=5.513 alpha=45.28 beta=90.00 gamma=90.00
Sites, in units of the cell vectors:
Dy: 0.000 0.000 0.000
Tm: 0.500 0.131 0.131
In: 0.201 0.711 0.711
In: 0.302 0.419 0.419
In: 0.698 0.419 0.419
In: 0.799 0.711 0.711
Co: 0.000 0.282 0.282
Co: 0.500 0.848 0.848



[2]
DFT (PBE) results for ErAgNO after structural relaxation.

E above lowest polymorph ... 0.135 eV per atom
Symmetry ... Pca2_1
ρ ... 9.509 Mg/m³

Unit cell a=4.998 b=8.852 c=4.818 alpha=90.00 beta=90.00 gamma=90.00
Sites, in units of the cell vectors:
Er: 0.000 0.139 0.000
Er: 0.000 0.861 0.500
Er: 0.500 0.139 0.500
Er: 0.500 0.861 0.000
Ag: 0.001 0.371 0.502
Ag: 0.499 0.371 0.002
Ag: 0.501 0.629 0.502
Ag: 0.999 0.629 0.002
N: 0.001 0.124 0.500
N: 0.499 0.124 0.000
N: 0.501 0.876 0.500
N: 0.999 0.876 0.000
O: 0.000 0.383 0.002
O: 0.000 0.617 0.502
O: 0.500 0.383 0.502
O: 0.500 0.617 0.002